# 1
DFT (PBE-GGA) results for Na2HoPuSe4 after structural relaxation.

```
data_Na2HoPuSe4
_cell_length_a 7.241
_cell_length_b 4.175
_cell_length_c 7.372
_cell_angle_alpha 90.00
_cell_angle_beta 109.16
_cell_angle_gamma 90.00
_symmetry_space_group_name_H-M 'P 1 2/m 1'
_symmetry_Int_Tables_number 10
loop_
_symmetry_equiv_pos_as_xyz
'x,y,z'
'-x,-y,-z'
'-x,y,-z'
'x,-y,z'
loop_
_atom_site_label
_atom_site_fract_x
_atom_site_fract_y
_atom_site_fract_z
Na1 0.000 0.000 0.000
Na2 0.500 0.500 0.000
Ho1 0.000 0.500 0.500
Pu1 0.500 0.000 0.500
Se1 0.239 0.000 0.730
Se2 0.253 0.500 0.271
```

## Properties
Total energy: -5.979 eV per atom
Density of states at the Fermi level: 1.499 states/eV/atom
ΔE_f (raw): -1.54 eV per atom

***

# 2
DFT (PBE-GGA) results for Na3Ho2PuSe6 after structural relaxation.

```
data_Na3Ho2PuSe6
_cell_length_a 7.219
_cell_length_b 12.505
_cell_length_c 7.378
_cell_angle_alpha 90.00
_cell_angle_beta 109.03
_cell_angle_gamma 90.00
_symmetry_space_group_name_H-M 'C 1 2/m 1'
_symmetry_Int_Tables_number 12
loop_
_symmetry_equiv_pos_as_xyz
'x,y,z'
'-x,-y,-z'
'-x,y,-z'
'x,-y,z'
'x+1/2,y+1/2,z'
'-x+1/2,-y+1/2,-z'
'-x+1/2,y+1/2,-z'
'x+1/2,-y+1/2,z'
loop_
_atom_site_label
_atom_site_fract_x
_atom_site_fract_y
_atom_site_fract_z
Na1 0.000 0.000 0.000
Na2 0.000 0.334 0.000
Ho1 0.000 0.167 0.500
Pu1 0.000 0.500 0.500
Se1 0.238 0.000 0.730
Se2 0.246 0.331 0.729
```

## Properties
Total energy: -5.619 eV per atom
Density of states at the Fermi level: 1.056 states/eV/atom
ΔE_f (raw): -1.59 eV per atom

***

> Number 2 is which compound?

Na3Ho2PuSe6